1.
Below is a geometry-optimized Cs2TcS3 structure, with properties calculated at the PBE level.

a = 7.2046 Å, b = 8.1336 Å, c = 16.2600 Å
α = 89.99°, β = 89.98°, γ = 63.71°
With the nearest neighbours (Å) after each atom.
Element x y z (fractional)
Cs 0.0641 0.3716 0.1413  7 S 3.57-3.92, 1 Tc 3.97
Cs 0.5643 0.3716 0.3587  7 S 3.57-3.92, 1 Tc 3.97
Cs 0.3580 0.7843 0.0744  7 S 3.57-3.63
Cs 0.6420 0.2157 0.9256  7 S 3.57-3.63
Cs 0.8576 0.7843 0.4256  7 S 3.57-3.63
Cs 0.1424 0.2157 0.5744  7 S 3.57-3.63
Cs 0.4357 0.6284 0.6413  7 S 3.57-3.92, 1 Tc 3.97
Cs 0.9359 0.6284 0.8587  7 S 3.57-3.92, 1 Tc 3.97
S 0.0932 0.3141 0.3593  1 Tc 2.25
S 0.9800 0.0400 0.7500  2 Tc 2.22
S 0.8348 0.8313 0.0630  1 Tc 2.25
S 0.4072 0.6859 0.8593  1 Tc 2.25
S 0.3339 0.8313 0.4370  1 Tc 2.25
S 0.5201 0.9599 0.2500  2 Tc 2.22
S 0.6661 0.1687 0.5630  1 Tc 2.25
S 0.4799 0.0401 0.7500  2 Tc 2.22
S 0.5928 0.3141 0.1407  1 Tc 2.25
S 0.1652 0.1687 0.9370  1 Tc 2.25
S 0.9068 0.6859 0.6407  1 Tc 2.25
S 0.0200 0.9600 0.2500  2 Tc 2.22
Tc 0.7572 0.9859 0.6741  4 S 2.22-2.25
Tc 0.2428 0.0141 0.3259  4 S 2.22-2.25
Tc 0.7430 0.0141 0.1741  4 S 2.22-2.25
Tc 0.2570 0.9859 0.8259  4 S 2.22-2.25

- SG = Cmce, No. 64
- raw total energy (Ha/atom) = -0.1792
- M_tot (μB per cell) = 3.5
- uncorrected formation energy (kcal/mol of atoms) = -18.49

=====

2.
Below is a geometry-optimized LaTbCuSn structure, with properties calculated at the PBE level.

a = 5.3056 Å, b = 5.3056 Å, c = 5.3056 Å
α = 60.00°, β = 60.00°, γ = 60.00°
With the nearest neighbours (Å) after each atom.
Element x y z (fractional)
Cu 0.7500 0.7500 0.7500  4 Tb 3.25, 4 La 3.25
Sn 0.2500 0.2500 0.2500  4 Tb 3.25, 4 La 3.25
La 0.0000 0.0000 0.0000  4 Sn 3.25, 4 Cu 3.25
Tb 0.5000 0.5000 0.5000  4 Cu 3.25, 4 Sn 3.25

- formation energy from the elements (eV/f.u.) = -1.7
- SG = F-43m, No. 216
- raw total energy (Ha/atom) = -0.1779
- M_tot (μB per cell) = 0.0

=====

3.
Below is a geometry-optimized Cr2Pt structure, with properties calculated at the PBE level.

a = 7.3225 Å, b = 7.3225 Å, c = 2.7921 Å
α = 90.00°, β = 90.00°, γ = 120.00°
With the nearest neighbours (Å) after each atom.
Element x y z (fractional)
Cr 0.0000 0.6249 0.5000  5 Pt 2.69-2.75, 8 Cr 2.76-2.88
Cr 0.3751 0.3751 0.5000  5 Pt 2.69-2.75, 8 Cr 2.76-2.88
Cr 0.6997 0.6997 0.0000  4 Pt 2.57-2.60, 4 Cr 2.76-2.79
Cr 0.3003 0.0000 0.0000  4 Pt 2.57-2.60, 4 Cr 2.76-2.79
Cr 0.6249 0.0000 0.5000  5 Pt 2.69-2.75, 8 Cr 2.76-2.88
Cr 0.0000 0.3003 0.0000  4 Pt 2.57-2.60, 4 Cr 2.76-2.79
Pt 0.6667 0.3333 0.0000  9 Cr 2.57-2.69, 2 Pt 2.79
Pt 0.3333 0.6667 0.0000  9 Cr 2.57-2.69, 2 Pt 2.79
Pt 0.0000 0.0000 0.5000  9 Cr 2.60-2.75, 2 Pt 2.79

- formation energy from the elements (eV/f.u.) = 0.2
- SG = P-62m, No. 189
- raw total energy (Ha/atom) = -0.3069
- M_tot (μB per cell) = 1.6

=====

4.
Below is a geometry-optimized Pu2Co2Ir structure, with properties calculated at the PBE level.

a = 6.7494 Å, b = 6.7494 Å, c = 7.5493 Å
α = 90.00°, β = 90.00°, γ = 90.00°
With the nearest neighbours (Å) after each atom.
Element x y z (fractional)
Pu 0.6842 0.8156 0.5000  6 Co 2.63-2.84
Pu 0.3156 0.1842 0.0000  6 Co 2.63-2.84
Pu 0.8156 0.3158 0.5000  6 Co 2.63-2.84
Pu 0.1844 0.6842 0.5000  6 Co 2.63-2.84
Pu 0.1842 0.6844 0.0000  6 Co 2.63-2.84
Pu 0.3158 0.1844 0.5000  6 Co 2.63-2.84
Pu 0.8158 0.3156 0.0000  6 Co 2.63-2.84
Pu 0.6844 0.8158 0.0000  6 Co 2.63-2.84
Co 0.6245 0.1245 0.7500  1 Co 2.38, 2 Pu 2.63
Co 0.8755 0.6245 0.2500  1 Co 2.38, 2 Pu 2.63
Co 0.3755 0.8755 0.7500  1 Co 2.38, 2 Pu 2.63
Co 0.6245 0.1245 0.2500  1 Co 2.38, 2 Pu 2.63
Co 0.1245 0.3755 0.2500  1 Co 2.38, 2 Pu 2.63
Co 0.3755 0.8755 0.2500  1 Co 2.38, 2 Pu 2.63
Co 0.1245 0.3755 0.7500  1 Co 2.38, 2 Pu 2.63
Co 0.8755 0.6245 0.7500  1 Co 2.38, 2 Pu 2.63
Ir 0.5000 0.5000 0.7503  4 Co 2.67
Ir 0.5000 0.5000 0.2497  4 Co 2.67
Ir 0.0000 0.0000 0.2503  4 Co 2.67
Ir 0.0000 0.0000 0.7497  4 Co 2.67

- formation energy from the elements (eV/f.u.) = -1.0
- SG = P4/mbm, No. 127
- raw total energy (Ha/atom) = -0.3875
- M_tot (μB per cell) = 33.7

=====

5.
Below is a geometry-optimized HgMo2Ir structure, with properties calculated at the PBE level.

a = 5.0408 Å, b = 5.0408 Å, c = 2.8019 Å
α = 90.00°, β = 90.00°, γ = 113.71°
With the nearest neighbours (Å) after each atom.
Element x y z (fractional)
Mo 0.0000 0.0000 0.0000  4 Mo 2.76-2.80, 4 Hg 2.88, 4 Ir 2.88
Mo 0.5000 0.5000 0.0000  4 Mo 2.76-2.80, 4 Ir 2.88, 4 Hg 2.88
Ir 0.0000 0.5000 0.5000  2 Hg 2.76, 2 Ir 2.80, 8 Mo 2.88
Hg 0.5000 0.0000 0.5000  2 Ir 2.76, 2 Hg 2.80, 8 Mo 2.88

- formation energy from the elements (eV/f.u.) = 1.3
- SG = Cmmm, No. 65
- raw total energy (Ha/atom) = -0.2713
- M_tot (μB per cell) = 0.0

=====

6.
Below is a geometry-optimized ErTi2C2 structure, with properties calculated at the PBE level.

a = 5.6619 Å, b = 5.6619 Å, c = 5.7355 Å
α = 112.30°, β = 112.30°, γ = 103.02°
With the nearest neighbours (Å) after each atom.
Element x y z (fractional)
C 0.1617 0.3383 0.7500  4 Ti 2.08-2.26
C 0.8383 0.6617 0.2500  4 Ti 2.08-2.26
C 0.4109 0.0891 0.2500  4 Ti 2.07-2.26
C 0.5891 0.9109 0.7500  4 Ti 2.07-2.26
Er 0.1254 0.3746 0.2500  2 C 2.53-2.55
Er 0.8746 0.6254 0.7500  2 C 2.53-2.55
Ti 0.2398 0.9889 0.4804  4 C 2.07-2.26
Ti 0.5111 0.2602 0.0196  4 C 2.07-2.26
Ti 0.4889 0.7398 0.9804  4 C 2.07-2.26
Ti 0.7602 0.0111 0.5196  4 C 2.07-2.26

- formation energy from the elements (eV/f.u.) = -1.7
- SG = C2/c, No. 15
- raw total energy (Ha/atom) = -0.2975
- M_tot (μB per cell) = 0.0

=====

7.
Below is a geometry-optimized BeNi2Rh structure, with properties calculated at the PBE level.

a = 7.8657 Å, b = 7.8657 Å, c = 7.8657 Å
α = 19.05°, β = 19.05°, γ = 19.05°
With the nearest neighbours (Å) after each atom.
Element x y z (fractional)
Be 0.2527 0.2527 0.2527  3 Ni 2.29, 3 Rh 2.37
Rh 0.5068 0.5068 0.5068  3 Be 2.37, 6 Rh 2.60, 3 Ni 2.63
Ni 0.7468 0.7468 0.7468  9 Ni 2.50-2.60, 3 Rh 2.63
Ni 0.9937 0.9937 0.9937  3 Be 2.29, 3 Ni 2.50

- formation energy from the elements (eV/f.u.) = -0.3
- SG = R3m, No. 160
- raw total energy (Ha/atom) = -0.2108
- M_tot (μB per cell) = 1.2

=====

8.
Below is a geometry-optimized Na3AlP2 structure, with properties calculated at the PBE level.

a = 6.5470 Å, b = 7.1789 Å, c = 8.0905 Å
α = 116.34°, β = 113.87°, γ = 90.00°
With the nearest neighbours (Å) after each atom.
Element x y z (fractional)
Na 0.7572 0.5072 0.5145  4 P 2.86-3.03
Na 0.2428 0.4928 0.4855  4 P 2.86-3.03
Na 0.7572 0.0072 0.5145  4 P 2.86-3.03
Na 0.5000 0.2500 0.0000  4 P 2.93
Na 0.5000 0.7500 0.0000  4 P 2.93
Na 0.2428 0.9928 0.4855  4 P 2.86-3.03
P 0.8812 0.1213 0.2426  1 Al 2.22
P 0.6385 0.3787 0.7574  1 Al 2.22
P 0.3615 0.6213 0.2426  1 Al 2.22
P 0.1188 0.8787 0.7574  1 Al 2.22
Al 0.0000 0.5000 0.0000  2 P 2.22
Al 0.0000 0.0000 0.0000  2 P 2.22

- formation energy from the elements (eV/f.u.) = -1.9
- SG = Ibam, No. 72
- raw total energy (Ha/atom) = -0.1253
- M_tot (μB per cell) = 0.0

=====

9.
Below is a geometry-optimized CrRuRh3 structure, with properties calculated at the PBE level.

a = 2.6935 Å, b = 8.9202 Å, c = 5.9547 Å
α = 79.15°, β = 103.07°, γ = 90.00°
With the nearest neighbours (Å) after each atom.
Element x y z (fractional)
Rh 0.1464 0.5541 0.2927  1 Cr 2.61, 4 Ru 2.64-2.73, 7 Rh 2.68-2.80
Rh 0.2533 0.2447 0.5065  2 Cr 2.64, 8 Rh 2.66-2.80, 2 Ru 2.73
Rh 0.8536 0.4459 0.7073  1 Cr 2.61, 4 Ru 2.64-2.73, 7 Rh 2.68-2.80
Rh 0.3630 0.9537 0.7260  4 Cr 2.57-2.61, 1 Ru 2.66, 5 Rh 2.66-2.77
Rh 0.6370 0.0463 0.2740  4 Cr 2.57-2.61, 1 Ru 2.66, 5 Rh 2.66-2.77
Rh 0.7467 0.7553 0.4935  2 Cr 2.64, 8 Rh 2.66-2.80, 2 Ru 2.73
Cr 0.9507 0.1564 0.9014  7 Rh 2.57-2.64, 2 Ru 2.58, 3 Cr 2.69-2.80
Cr 0.0493 0.8436 0.0986  7 Rh 2.57-2.64, 2 Ru 2.58, 3 Cr 2.69-2.80
Ru 0.5484 0.3441 0.0967  2 Cr 2.58, 7 Rh 2.64-2.73, 3 Ru 2.69-2.79
Ru 0.4516 0.6559 0.9033  2 Cr 2.58, 7 Rh 2.64-2.73, 3 Ru 2.69-2.79

- formation energy from the elements (eV/f.u.) = -0.1
- SG = C2/m, No. 12
- raw total energy (Ha/atom) = -0.3015
- M_tot (μB per cell) = 0.0

=====

10.
Below is a geometry-optimized TeP2WCl structure, with properties calculated at the PBE level.

a = 5.1041 Å, b = 5.1041 Å, c = 4.9147 Å
α = 90.00°, β = 90.00°, γ = 90.00°
With the nearest neighbours (Å) after each atom.
Element x y z (fractional)
Cl 0.0000 0.0000 0.5000  2 Te 2.46
Te 0.0000 0.0000 0.0000  2 Cl 2.46, 4 P 2.55
P 0.5000 0.0000 0.0000  2 Te 2.55
P 0.0000 0.5000 0.0000  2 Te 2.55
W 0.5000 0.5000 0.5000  8 P 3.54, 4 Cl 3.61

- SG = P4/mmm, No. 123
- raw total energy (Ha/atom) = -0.1457
- M_tot (μB per cell) = 3.2
- uncorrected formation energy (kcal/mol of atoms) = 41.24

=====

11.
Below is a geometry-optimized Li4TbAu2 structure, with properties calculated at the PBE level.

a = 4.3594 Å, b = 7.6943 Å, c = 7.6943 Å
α = 90.00°, β = 90.00°, γ = 90.00°
With the nearest neighbours (Å) after each atom.
Element x y z (fractional)
Tb 0.5000 0.0000 0.0000  6 Au 3.14-3.17, 4 Li 3.30
Tb 0.0000 0.5000 0.5000  6 Au 3.14-3.17, 4 Li 3.30
Li 0.5000 0.4013 0.8503  3 Au 2.62-2.67, 6 Li 2.74-2.93
Li 0.5000 0.5987 0.1497  3 Au 2.62-2.67, 6 Li 2.74-2.93
Li 0.0000 0.9013 0.6497  3 Au 2.62-2.67, 6 Li 2.74-2.93
Li 0.5000 0.1497 0.5987  3 Au 2.62-2.67, 6 Li 2.74-2.93
Li 0.5000 0.8503 0.4013  3 Au 2.62-2.67, 6 Li 2.74-2.93
Li 0.0000 0.6497 0.9013  3 Au 2.62-2.67, 6 Li 2.74-2.93
Li 0.0000 0.0987 0.3503  3 Au 2.62-2.67, 6 Li 2.74-2.93
Li 0.0000 0.3503 0.0987  3 Au 2.62-2.67, 6 Li 2.74-2.93
Au 0.5000 0.7119 0.7119  6 Li 2.62-2.67
Au 0.0000 0.2119 0.7881  6 Li 2.62-2.67
Au 0.0000 0.7881 0.2119  6 Li 2.62-2.67
Au 0.5000 0.2881 0.2881  6 Li 2.62-2.67

- formation energy from the elements (eV/f.u.) = -3.3
- SG = P4_2/mnm, No. 136
- raw total energy (Ha/atom) = -0.1161
- M_tot (μB per cell) = 0.0

=====

12.
Below is a geometry-optimized Tl2AuI2 structure, with properties calculated at the PBE level.

a = 8.1462 Å, b = 8.1462 Å, c = 5.3024 Å
α = 90.00°, β = 90.00°, γ = 90.00°
With the nearest neighbours (Å) after each atom.
Element x y z (fractional)
I 0.1603 0.6603 0.5000  2 Tl 3.23
I 0.3397 0.1603 0.5000  2 Tl 3.23
I 0.6603 0.8397 0.5000  2 Tl 3.23
I 0.8397 0.3397 0.5000  2 Tl 3.23
Tl 0.8207 0.6793 0.0000  2 Au 2.99, 2 I 3.23
Tl 0.3207 0.8207 0.0000  2 Au 2.99, 2 I 3.23
Tl 0.1793 0.3207 0.0000  2 Au 2.99, 2 I 3.23
Tl 0.6793 0.1793 0.0000  2 Au 2.99, 2 I 3.23
Au 0.0000 0.0000 0.0000  4 Tl 2.99
Au 0.5000 0.5000 0.0000  4 Tl 2.99

- SG = P4/mbm, No. 127
- raw total energy (Ha/atom) = -0.0859
- M_tot (μB per cell) = 0.0
- uncorrected formation energy (kcal/mol of atoms) = -2.68

=====

13.
Below is a geometry-optimized AcCeHo structure, with properties calculated at the PBE level.

a = 3.6861 Å, b = 3.6861 Å, c = 8.9157 Å
α = 90.00°, β = 90.00°, γ = 120.00°
With the nearest neighbours (Å) after each atom.
Element x y z (fractional)
Ho 0.6667 0.3333 0.3441  3 Ce 3.52, 6 Ho 3.69, 3 Ac 3.75
Ce 0.3333 0.6667 0.6583  3 Ho 3.52, 6 Ce 3.69, 3 Ac 3.70
Ac 0.0000 0.0000 0.9975  6 Ac 3.69, 3 Ce 3.70, 3 Ho 3.75

- formation energy from the elements (eV/f.u.) = 0.4
- SG = P3m1, No. 156
- raw total energy (Ha/atom) = -0.1741
- M_tot (μB per cell) = 1.0

=====

14.
Below is a geometry-optimized LaTbNi structure, with properties calculated at the PBE level.

a = 4.3760 Å, b = 4.5574 Å, c = 4.5574 Å
α = 120.00°, β = 90.00°, γ = 90.00°
With the nearest neighbours (Å) after each atom.
Element x y z (fractional)
La 0.2821 0.3333 0.6667  3 Ni 3.01
Ni 0.9466 0.0000 0.0000  3 Tb 2.74, 3 La 3.01
Tb 0.7713 0.6667 0.3333  3 Ni 2.74

- formation energy from the elements (eV/f.u.) = -0.2
- SG = P3m1, No. 156
- raw total energy (Ha/atom) = -0.1904
- M_tot (μB per cell) = 0.0

=====

15.
Below is a geometry-optimized YAl3V structure, with properties calculated at the PBE level.

a = 4.7407 Å, b = 4.7407 Å, c = 4.7407 Å
α = 90.00°, β = 90.00°, γ = 90.00°
With the nearest neighbours (Å) after each atom.
Element x y z (fractional)
Al 0.0000 0.5000 0.0000  2 V 2.37
Al 0.5000 0.0000 0.0000  2 V 2.37
Al 0.0000 0.0000 0.5000  2 V 2.37
V 0.0000 0.0000 0.0000  6 Al 2.37
Y 0.5000 0.5000 0.5000  12 Al 3.35

- formation energy from the elements (eV/f.u.) = 0.4
- SG = Pm-3m, No. 221
- raw total energy (Ha/atom) = -0.1942
- M_tot (μB per cell) = 0.0

=====

16.
Below is a geometry-optimized In2AgBF structure, with properties calculated at the PBE level.

a = 4.6884 Å, b = 4.4069 Å, c = 4.6884 Å
α = 90.00°, β = 90.00°, γ = 90.00°
With the nearest neighbours (Å) after each atom.
Element x y z (fractional)
In 0.0000 0.0000 0.5000  2 B 2.34
In 0.5000 0.0000 0.0000  2 B 2.34
B 0.0000 0.0000 0.0000  2 Ag 2.20, 4 In 2.34
Ag 0.0000 0.5000 0.0000  2 B 2.20
F 0.5000 0.5000 0.5000  8 In 3.22, 4 Ag 3.32

- SG = P4/mmm, No. 123
- raw total energy (Ha/atom) = -0.1278
- M_tot (μB per cell) = 0.0
- uncorrected formation energy (kcal/mol of atoms) = -2.34